Record 1
# Er4Tl2Sb PBE optimized geometry
data_Er4Tl2Sb
_space_group_name_H-M_alt 'P 1'
_space_group_IT_number 1
_cell_length_a 7.9919
_cell_length_b 7.9919
_cell_length_c 7.9919
_cell_angle_alpha 109.58
_cell_angle_beta 109.58
_cell_angle_gamma 109.26
loop_
_space_group_symop_operation_xyz
'x,y,z'
loop_
_atom_site_label
_atom_site_type_symbol
_atom_site_fract_x
_atom_site_fract_y
_atom_site_fract_z
_atom_site_occupancy
Er1 Er 0.1243 0.2311 0.7480 1
Er2 Er 0.1263 0.7331 0.7520 1
Er3 Er 0.2669 0.0189 0.3933 1
Er4 Er 0.4831 0.3763 0.2520 1
Er5 Er 0.6237 0.8757 0.1067 1
Er6 Er 0.6257 0.8737 0.6067 1
Er7 Er 0.7689 0.5169 0.8933 1
Er8 Er 0.9811 0.3743 0.2480 1
Tl1 Tl 0.2519 0.6250 0.1269 1
Tl2 Tl 0.3750 0.5019 0.6269 1
Tl3 Tl 0.4981 0.1250 0.8731 1
Tl4 Tl 0.8750 0.7481 0.3731 1
Sb1 Sb 0.0000 0.0000 0.0000 1
Sb2 Sb 0.7500 0.2500 0.5000 1
# - V (Å³ per atom) = 28.07
# - uncorrected formation energy (eV per atom) = -0.50



Record 2
# Er2ThRhN4 PBE optimized geometry
data_Er2ThRhN4
_space_group_name_H-M_alt 'P 1'
_space_group_IT_number 1
_cell_length_a 6.1067
_cell_length_b 6.1067
_cell_length_c 11.4990
_cell_angle_alpha 90.00
_cell_angle_beta 90.00
_cell_angle_gamma 147.71
loop_
_space_group_symop_operation_xyz
'x,y,z'
loop_
_atom_site_label
_atom_site_type_symbol
_atom_site_fract_x
_atom_site_fract_y
_atom_site_fract_z
_atom_site_occupancy
Er1 Er 0.1283 0.8717 0.5494 1
Er2 Er 0.1283 0.8717 0.9506 1
Er3 Er 0.8717 0.1283 0.0494 1
Er4 Er 0.8717 0.1283 0.4506 1
Th1 Th 0.3866 0.6134 0.7500 1
Th2 Th 0.6134 0.3866 0.2500 1
Rh1 Rh 0.3525 0.6475 0.2500 1
Rh2 Rh 0.6475 0.3525 0.7500 1
N1 N 0.0415 0.9585 0.7500 1
N2 N 0.2220 0.7780 0.1268 1
N3 N 0.2220 0.7780 0.3732 1
N4 N 0.5000 0.5000 0.0000 1
N5 N 0.5000 0.5000 0.5000 1
N6 N 0.7780 0.2220 0.6268 1
N7 N 0.7780 0.2220 0.8732 1
N8 N 0.9585 0.0415 0.2500 1
# - V (Å³ per atom) = 14.32
# - uncorrected formation energy (eV per atom) = -1.14



Record 3
# Th8CoSn2 PBE optimized geometry
data_Th8CoSn2
_space_group_name_H-M_alt 'P 1'
_space_group_IT_number 1
_cell_length_a 9.5715
_cell_length_b 9.5715
_cell_length_c 6.7160
_cell_angle_alpha 108.32
_cell_angle_beta 108.32
_cell_angle_gamma 33.71
loop_
_space_group_symop_operation_xyz
'x,y,z'
loop_
_atom_site_label
_atom_site_type_symbol
_atom_site_fract_x
_atom_site_fract_y
_atom_site_fract_z
_atom_site_occupancy
Th1 Th 0.0028 0.0028 0.2385 1
Th2 Th 0.2225 0.2225 0.1339 1
Th3 Th 0.3628 0.3628 0.6995 1
Th4 Th 0.4149 0.4149 0.2580 1
Th5 Th 0.5851 0.5851 0.7420 1
Th6 Th 0.6372 0.6372 0.3005 1
Th7 Th 0.7775 0.7775 0.8661 1
Th8 Th 0.9972 0.9972 0.7615 1
Co1 Co 0.5000 0.5000 0.0000 1
Sn1 Sn 0.1718 0.1718 0.6153 1
Sn2 Sn 0.8282 0.8282 0.3847 1
# - V (Å³ per atom) = 29.32
# - DFT formation energy (eV/atom) = -0.163



Record 4
# Pr3Nd3Y PBE optimized geometry
data_Pr3Nd3Y
_space_group_name_H-M_alt 'P 1'
_space_group_IT_number 1
_cell_length_a 9.0893
_cell_length_b 9.0893
_cell_length_c 9.0893
_cell_angle_alpha 58.23
_cell_angle_beta 58.23
_cell_angle_gamma 58.23
loop_
_space_group_symop_operation_xyz
'x,y,z'
loop_
_atom_site_label
_atom_site_type_symbol
_atom_site_fract_x
_atom_site_fract_y
_atom_site_fract_z
_atom_site_occupancy
Pr1 Pr 0.0626 0.2953 0.8180 1
Pr2 Pr 0.1820 0.9374 0.7047 1
Pr3 Pr 0.2953 0.8180 0.0626 1
Pr4 Pr 0.7047 0.1820 0.9374 1
Pr5 Pr 0.8180 0.0626 0.2953 1
Pr6 Pr 0.9374 0.7047 0.1820 1
Nd1 Nd 0.0701 0.7204 0.5679 1
Nd2 Nd 0.2796 0.4321 0.9299 1
Nd3 Nd 0.4321 0.9299 0.2796 1
Nd4 Nd 0.5679 0.0701 0.7204 1
Nd5 Nd 0.7204 0.5679 0.0701 1
Nd6 Nd 0.9299 0.2796 0.4321 1
Y1 Y 0.3443 0.3443 0.3443 1
Y2 Y 0.6557 0.6557 0.6557 1
# - V (Å³ per atom) = 36.39
# - DFT formation energy (eV/atom) = 0.210



Theoretical density readings, ordered: 10.139; 10.519; 11.084; 6.156 Mg/m³